First-principles (PBE) data for a geometry-optimized KCd2Te structure, as listed in Alexandria.

abc: 5.618 5.618 5.618
angles: 60.00 60.00 60.00
Element x y z (fractional)
Cd 0.000 0.000 0.000
Cd 0.250 0.250 0.250
K 0.500 0.500 0.500
Te 0.750 0.750 0.750

Calculated values
* formation energy without anion corrections: -0.21 eV/atom
* total magnetization: 0.00 μB per cell